## one
Sr2CrRe | PBE | relaxed

Unit cell a=5.643 b=5.643 c=5.643 alpha=128.55 beta=128.52 gamma=75.76
Element x y z (fractional)
Cr: 0.250 0.750 0.500
Sr: 0.500 0.500 0.000
Sr: 0.000 0.000 0.000
Re: 0.750 0.250 0.500

N(E_F) (states/eV/f.u.): 4.89
SG: I4/mmm

---

## two
Sr2CrRe | PBE | relaxed

Unit cell a=4.687 b=4.683 c=4.730 alpha=90.00 beta=90.00 gamma=90.00
Element x y z (fractional)
Re: 0.000 0.500 0.500
Sr: 0.500 0.500 0.000
Sr: 0.000 0.000 0.000
Cr: 0.500 0.000 0.500

N(E_F) (states/eV/f.u.): 4.82
SG: P4/mmm

---

## three
Sr2CrRe | PBE | relaxed

Unit cell a=11.628 b=11.628 c=11.628 alpha=15.59 beta=15.59 gamma=15.59
Element x y z (fractional)
Sr: 0.835 0.835 0.835
Sr: 0.665 0.665 0.665
Cr: 0.250 0.250 0.250
Re: 0.750 0.750 0.750

N(E_F) (states/eV/f.u.): 4.13
SG: R-3m

---

Relative energies in kJ/mol of atoms: one 0.0; two 2.3; three 43.4

---

## one
Sr2CrRe | PBE | relaxed

Unit cell a=5.167 b=5.167 c=5.167 alpha=120.17 beta=120.17 gamma=89.71
Element x y z (fractional)
Re: 0.750 0.250 0.500
Cr: 0.500 0.500 0.000
Sr: 0.250 0.750 0.500
Sr: 0.000 0.000 0.000

N(E_F) (states/eV/f.u.): 5.74
SG: I-4m2

---

## two
Sr2CrRe | PBE | relaxed

Unit cell a=3.463 b=3.463 c=9.239 alpha=90.00 beta=90.00 gamma=90.00
Element x y z (fractional)
Cr: 0.500 0.500 0.250
Sr: 0.000 0.000 0.528
Sr: 0.000 0.000 0.972
Re: 0.500 0.500 0.750

N(E_F) (states/eV/f.u.): 3.22
SG: P4/mmm

---

Relative energies in kJ/mol of atoms: one 0.0; two 6.5

---

## one
Sr2CrRe | PBE | relaxed

Unit cell a=6.344 b=6.344 c=6.344 alpha=145.91 beta=129.19 gamma=62.61
Element x y z (fractional)
Sr: 0.267 0.767 0.500
Sr: 0.978 0.978 0.000
Cr: 0.565 0.565 0.000
Re: 0.690 0.190 0.500

N(E_F) (states/eV/f.u.): 3.64
SG: Imm2

---

## two
Sr2CrRe | PBE | relaxed

Unit cell a=5.349 b=5.349 c=6.500 alpha=85.08 beta=85.08 gamma=32.98
Element x y z (fractional)
Sr: 0.508 0.508 0.488
Sr: 0.992 0.992 0.012
Re: 0.250 0.250 0.250
Cr: 0.750 0.750 0.750

N(E_F) (states/eV/f.u.): 3.24
SG: C2/m

---

## three
Sr2CrRe | PBE | relaxed

Unit cell a=3.395 b=3.394 c=10.005 alpha=69.58 beta=90.00 gamma=90.00
Element x y z (fractional)
Sr: 0.000 0.066 0.924
Sr: 0.500 0.184 0.325
Cr: 0.000 0.412 0.590
Re: 0.500 0.838 0.661

N(E_F) (states/eV/f.u.): 3.88
SG: Pm

---

Relative energies in kJ/mol of atoms: one 9.5; two 71.6; three 0.0